First-principles (GGA-PBE) data for a geometry-optimized P structure, as listed in Alexandria via LeMat-Bulk.

The calculation puts the spin magnetization at 0.000 μB/f.u. For the offset from the most stable computed form, the calculation gives 0.141 eV per atom. The calculation puts the energy of formation from the pure elements at 0.141 eV/atom.

It has space group C2/m (No. 12), with a = 9.8662 Å, b = 9.0827 Å, c = 5.9469 Å, α = 90.00°, β = 91.50° and γ = 90.00°. The asymmetric unit holds P at (0.1500, 0.1216, 0.2544), P at (0.1573, 0.5000, 0.7563) and P at (0.2242, 0.0000, 0.5534).